No. 1
The following is a PBE-GGA calculation of an optimized crystal structure of Mg3InRu, from Alexandria via LeMat-Bulk.

a = 4.9810 Å, b = 4.9810 Å, c = 4.9810 Å
α = 90.00°, β = 90.00°, γ = 90.00°
Fractional coordinates of all 5 atoms:
Mg: 0.0000 0.0000 0.5000
Mg: 0.0000 0.5000 0.0000
Mg: 0.5000 0.0000 0.0000
In: 0.5000 0.5000 0.5000
Ru: 0.0000 0.0000 0.0000

Summary:
The value obtained for the energy relative to the lowest polymorph listed for this composition is 0 meV/atom. For the formation energy from the elements, the calculation gives 0.3000 eV per atom. The calculation puts the total energy at -15.30 eV for the cell shown.

=====

No. 2
The following is a PBE-GGA calculation of an optimized crystal structure of Na2SrTaMo, from Alexandria via LeMat-Bulk.

a = 4.7578 Å, b = 4.7578 Å, c = 5.3655 Å
α = 90.00°, β = 90.00°, γ = 90.00°
Fractional coordinates of all 5 atoms:
Na: 0.0000 0.5000 0.0000
Na: 0.5000 0.0000 0.0000
Sr: 0.0000 0.0000 0.0000
Ta: 0.0000 0.0000 0.5000
Mo: 0.5000 0.5000 0.5000

Summary:
For the formation energy from the elements, the calculation gives 2.3746 eV per atom. The calculation puts the total energy at -15.13 eV for the cell shown.

=====

No. 3
The following is a PBE-GGA calculation of an optimized crystal structure of Dy2GaTe, from Alexandria via LeMat-Bulk.

a = 6.0394 Å, b = 6.0395 Å, c = 13.5100 Å
α = 90.00°, β = 116.41°, γ = 90.00°
Fractional coordinates of all 16 atoms:
Dy: 0.1202 0.2480 0.1205
Dy: 0.1202 0.7520 0.6205
Dy: 0.3713 0.2514 0.8708
Dy: 0.3713 0.7486 0.3708
Dy: 0.6287 0.2514 0.6292
Dy: 0.6287 0.7486 0.1292
Dy: 0.8798 0.2480 0.3795
Dy: 0.8798 0.7520 0.8795
Ga: 0.1245 0.2520 0.6251
Ga: 0.1245 0.7480 0.1251
Ga: 0.8755 0.2520 0.8749
Ga: 0.8755 0.7480 0.3749
Te: 0.3751 0.2486 0.3748
Te: 0.3751 0.7514 0.8748
Te: 0.6249 0.2486 0.1252
Te: 0.6249 0.7514 0.6252

Summary:
The value obtained for the energy relative to the lowest polymorph listed for this composition is 125 meV/atom. The energy relative to the elements, uncorrected comes out at -0.8839 eV/atom. The calculation puts the total energy at -75.63 eV for the cell shown.

=====

No. 4
The following is a PBE-GGA calculation of an optimized crystal structure of Na3Np3PaS8, from Alexandria via LeMat-Bulk.

a = 8.1431 Å, b = 8.1431 Å, c = 8.1431 Å
α = 59.13°, β = 59.13°, γ = 59.13°
Fractional coordinates of all 15 atoms:
Na: 0.0000 0.5000 0.5000
Na: 0.5000 0.0000 0.5000
Na: 0.5000 0.5000 0.0000
Np: 0.0000 0.0000 0.5000
Np: 0.0000 0.5000 0.0000
Np: 0.5000 0.0000 0.0000
Pa: 0.5000 0.5000 0.5000
S: 0.2414 0.2414 0.2414
S: 0.2479 0.7368 0.7368
S: 0.2632 0.2632 0.7521
S: 0.2632 0.7521 0.2632
S: 0.7368 0.2479 0.7368
S: 0.7368 0.7368 0.2479
S: 0.7521 0.2632 0.2632
S: 0.7586 0.7586 0.7586

Summary:
The energy relative to the elements, uncorrected comes out at -1.4145 eV/atom. The calculation puts the total energy at -106.51 eV for the cell shown.

=====

No. 5
The following is a PBE-GGA calculation of an optimized crystal structure of Mn2P, from Alexandria via LeMat-Bulk.

a = 5.9040 Å, b = 5.9040 Å, c = 3.4628 Å
α = 90.00°, β = 90.00°, γ = 120.00°
Fractional coordinates of all 9 atoms:
Mn: 0.0000 0.2497 0.0000
Mn: 0.0000 0.5893 0.5000
Mn: 0.2497 0.0000 0.0000
Mn: 0.4107 0.4107 0.5000
Mn: 0.5893 0.0000 0.5000
Mn: 0.7503 0.7503 0.0000
P: 0.0000 0.0000 0.5000
P: 0.3333 0.6667 0.0000
P: 0.6667 0.3333 0.0000

Summary:
For the formation energy from the elements, the calculation gives -0.4981 eV per atom. The calculation puts the total energy at -75.73 eV for the cell shown.

=====

No. 6
The following is a PBE-GGA calculation of an optimized crystal structure of UCo2H, from Alexandria via LeMat-Bulk.

a = 3.2309 Å, b = 3.2309 Å, c = 4.8965 Å
α = 90.00°, β = 90.00°, γ = 90.00°
Fractional coordinates of all 4 atoms:
U: 0.0000 0.0000 0.0000
Co: 0.5000 0.5000 0.2671
Co: 0.5000 0.5000 0.7329
H: 0.0000 0.0000 0.5000

Summary:
The value obtained for the energy relative to the lowest polymorph listed for this composition is 0 meV/atom. The calculation puts the total energy at -27.48 eV for the cell shown.